Computed, not measured: a relaxed structure of Mo3OsO at the PBE with a Hubbard U level of DFT.

## Properties
Total moment   0.0000 μB per atom
Calculated volume   14.05 A^3/atom
Polymorph energy (0 for the lowest one)   0 meV per atom
Density   11.676 g cm⁻³
Fermi-level density of states   4.128 states/eV/f.u.

Cell and atoms, written as CIF:
```
data_Mo3OsO
_chemical_formula_sum 'Mo3 Os1 O1'
_cell_length_a 4.126
_cell_length_b 4.126
_cell_length_c 4.126
_cell_angle_alpha 90.00
_cell_angle_beta 90.00
_cell_angle_gamma 90.00
_symmetry_space_group_name_H-M 'P m -3 m'
_symmetry_Int_Tables_number 221
_symmetry_space_group_name_Hall '-P 4 2 3'
loop_
_atom_site_label
_atom_site_type_symbol
_atom_site_fract_x
_atom_site_fract_y
_atom_site_fract_z
Mo1 Mo 0.000 0.000 0.500
Os1 Os 0.500 0.500 0.500
O1 O 0.000 0.000 0.000
```